(1)
VASP calculation (GGA-PBE) on an optimized crystal structure of Nd7Dy3Tm2.

For the spin magnetization, the calculation gives 0.00 μB per cell. As for the energy above the most stable polymorph in this dataset: 188 meV per atom. The energy of formation is 262 meV/atom. The mass density is 7.3 g/cm3.

The structure belongs to space group Cmmm (No. 65); the cell edges are 5.5013, 32.2896 and 4.7158 Å and the angles 90.00°, 90.00° and 90.00°. The distinct sites, in fractional coordinates, are Nd at (0.0000, 0.0000, 0.0000), Nd at (0.0000, 0.0797, 0.5000), Nd at (0.0000, 0.2645, 0.0000), Nd at (0.0000, 0.4166, 0.0000), Dy at (0.0000, 0.3414, 0.5000), Dy at (0.0000, 0.5000, 0.5000) and Tm at (0.0000, 0.1594, 0.0000).

(2)
VASP calculation (GGA-PBE) on an optimized crystal structure of Ca2PmNd.

For the spin magnetization, the calculation gives 0.00 μB per cell. As for the energy above the most stable polymorph in this dataset: 87 meV per atom. The energy of formation is 124 meV/atom. The mass density is 4.1 g/cm3.

The structure belongs to space group Fm-3m (No. 225); the cell edges are 8.4168, 8.4168 and 8.4168 Å and the angles 90.00°, 90.00° and 90.00°. The distinct sites, in fractional coordinates, are Ca at (0.2500, 0.2500, 0.2500), Pm at (0.0000, 0.0000, 0.0000) and Nd at (0.0000, 0.0000, 0.5000).

Number 2 is which compound?
Ca2PmNd

The highest energy above the most stable polymorph in this dataset belongs to which entry?
Nd7Dy3Tm2

mass density of number 1 (Nd7Dy3Tm2)?
7.3 g/cm3

What is the mass density in the first record?
7.3 g/cm3